A relaxed Mg3InAg3Hg2 crystal, computed with PBE.

Cell: 8.1799 8.1799 3.1703 Å, 90.00 90.00 120.00°
Space group P-62m (No. 189)
Asymmetric unit:
Mg 0.0000 0.3743 0.0000 [3 per cell]
In 0.0000 0.0000 0.0000 [1 per cell]
Ag 0.0000 0.7001 0.5000 [3 per cell]
Hg 0.3333 0.6667 0.5000 [2 per cell]

Calculated values
Calculated formation energy = -0.13 eV per atom



A relaxed KTl2Cd2Bi2 crystal, computed with PBE.

Cell: 5.5051 5.5051 27.3878 Å, 90.00 90.00 120.00°
Space group R-3m (No. 166, hexagonal axes)
Asymmetric unit:
K 0.0000 0.0000 0.0000 [3 per cell]
Tl 0.0000 0.0000 0.1313 [6 per cell]
Cd 0.0000 0.0000 0.4100 [6 per cell]
Bi 0.0000 0.0000 0.2517 [6 per cell]

Calculated values
Calculated formation energy = -0.07 eV per atom



A relaxed TbFe2SiC crystal, computed with PBE.

Cell: 3.7713 10.4351 6.7311 Å, 90.00 90.00 90.00°
Space group Cmcm (No. 63)
Asymmetric unit:
Tb 0.0000 0.0514 0.2500 [4 per cell]
Fe 0.0000 0.3346 0.0630 [8 per cell]
Si 0.0000 0.2293 0.7500 [4 per cell]
C 0.0000 0.5000 0.0000 [4 per cell]

Calculated values
Formation energy without anion corrections = -0.52 eV/atom



A relaxed NdY2RuO8 crystal, computed with PBE.

Cell: 5.0824 6.8725 5.0847 Å, 90.00 90.24 90.00°
Space group P2/m (No. 10)
Asymmetric unit:
Nd 0.0000 0.0000 0.0000 [1 per cell]
Y 0.5000 0.2500 0.5000 [2 per cell]
Ru 0.0000 0.5000 0.0000 [1 per cell]
O 0.1857 0.2966 0.1843 [4 per cell]
O 0.2642 0.5000 0.7343 [2 per cell]
O 0.3142 0.0000 0.6842 [2 per cell]

Calculated values
Formation energy without anion corrections = -2.34 eV/atom



A relaxed NdThCuSi crystal, computed with PBE.

Cell: 7.2107 7.2107 7.2107 Å, 90.00 90.00 90.00°
Space group F-43m (No. 216)
Asymmetric unit:
Nd 0.0000 0.0000 0.0000 [4 per cell]
Th 0.0000 0.0000 0.5000 [4 per cell]
Cu 0.2500 0.2500 0.2500 [4 per cell]
Si 0.2500 0.2500 0.7500 [4 per cell]

Calculated values
Formation energy without anion corrections = -0.29 eV/atom



A relaxed Nd3Ge2Pd5 crystal, computed with PBE.

Cell: 11.9551 12.0766 5.9499 Å, 90.00 90.00 90.00°
Space group Ibam (No. 72)
Asymmetric unit:
Nd 0.0000 0.0000 0.2500 [4 per cell]
Nd 0.1116 0.2946 0.0000 [8 per cell]
Ge 0.1404 0.1572 0.5000 [8 per cell]
Pd 0.0000 0.5000 0.2500 [4 per cell]
Pd 0.1368 0.3566 0.5000 [8 per cell]
Pd 0.2396 0.0000 0.2500 [8 per cell]

Calculated values
Calculated formation energy = -0.59 eV per atom



A relaxed LaSc2Ni crystal, computed with PBE.

Cell: 4.1485 4.1485 10.7128 Å, 90.00 90.00 90.00°
Space group I4/mmm (No. 139)
Asymmetric unit:
La 0.0000 0.0000 0.0000 [2 per cell]
Sc 0.0000 0.5000 0.2500 [4 per cell]
Ni 0.0000 0.0000 0.5000 [2 per cell]

Calculated values
Excess energy over the best structure of this formula in the dataset = 0.307 eV per atom
Calculated formation energy = 0.10 eV per atom



A relaxed LuGePtAu crystal, computed with PBE.

Cell: 6.7151 6.7151 6.7151 Å, 90.00 90.00 90.00°
Space group F-43m (No. 216)
Asymmetric unit:
Lu 0.0000 0.0000 0.0000 [4 per cell]
Ge 0.0000 0.0000 0.5000 [4 per cell]
Pt 0.2500 0.2500 0.7500 [4 per cell]
Au 0.2500 0.2500 0.2500 [4 per cell]

Calculated values
Calculated formation energy = -0.69 eV per atom



Let's list calculated total energy in order: -1.984; -2.277; -7.761; -7.892; -5.720; -5.541; -5.738; -5.301 eV/atom.